Record 1
First-principles (GGA-PBE) data for a geometry-optimized BeCd2P2 structure, as listed in Alexandria via LeMat-Bulk.

Size of the total moment   0.000 μB per atom
Calculated formation energy   396.9 meV/atom
ΔE to the lowest computed polymorph   0.313 eV per atom

a b c (Å): 8.8341 8.8341 8.8341
angles (deg): 158.90 158.90 30.01
Atoms (fractional coordinates):
1 Be 0.0000 0.0000 0.0000
2 Cd 0.5905 0.5905 0.0000
3 Cd 0.4095 0.4095 0.0000
4 P 0.2500 0.7500 0.5000
5 P 0.7500 0.2500 0.5000

=====

Record 2
First-principles (GGA-PBE) data for a geometry-optimized BeCd2P structure, as listed in Alexandria via LeMat-Bulk.

Size of the total moment   0.000 μB per atom
Calculated formation energy   517.9 meV/atom
ΔE to the lowest computed polymorph   0.565 eV per atom

a b c (Å): 2.9149 2.9149 8.1808
angles (deg): 90.00 90.00 90.00
Atoms (fractional coordinates):
1 P 0.5000 0.5000 0.2500
2 Be 0.5000 0.5000 0.7500
3 Cd 0.0000 0.0000 0.9657
4 Cd 0.0000 0.0000 0.5343

=====

Record 3
First-principles (GGA-PBE) data for a geometry-optimized BeCd2P structure, as listed in Alexandria via LeMat-Bulk.

Size of the total moment   0.000 μB per atom
Calculated formation energy   526.6 meV/atom
ΔE to the lowest computed polymorph   0.574 eV per atom

a b c (Å): 4.2231 4.2279 3.9979
angles (deg): 90.00 90.00 90.00
Atoms (fractional coordinates):
1 P 0.5000 0.0000 0.5000
2 Be 0.0000 0.5000 0.5000
3 Cd 0.0000 0.0000 0.0000
4 Cd 0.5000 0.5000 0.0000

=====

Record 4
First-principles (GGA-PBE) data for a geometry-optimized BeCd2PRh structure, as listed in Alexandria via LeMat-Bulk.

Size of the total moment   0.000 μB per atom
Calculated formation energy   692.9 meV/atom

a b c (Å): 5.0193 4.3769 5.0193
angles (deg): 90.00 90.00 90.00
Atoms (fractional coordinates):
1 P 0.0000 0.0000 0.0000
2 Rh 0.0000 0.5000 0.0000
3 Be 0.5000 0.5000 0.5000
4 Cd 0.0000 0.0000 0.5000
5 Cd 0.5000 0.0000 0.0000

=====

Record 5
First-principles (GGA-PBE) data for a geometry-optimized BeCdPS2 structure, as listed in Alexandria via LeMat-Bulk.

Size of the total moment   0.261 μB per atom
Formation energy from raw total energies   1388.2 meV/atom
ΔE to the lowest computed polymorph   1.021 eV per atom

a b c (Å): 4.9691 4.9691 4.9537
angles (deg): 90.00 90.00 90.00
Atoms (fractional coordinates):
1 P 0.0000 0.0000 0.5000
2 S 0.0000 0.5000 0.0000
3 S 0.5000 0.0000 0.0000
4 Be 0.5000 0.5000 0.5000
5 Cd 0.0000 0.0000 0.0000

=====

Record 6
First-principles (GGA-PBE) data for a geometry-optimized BeCdPS2 structure, as listed in Alexandria via LeMat-Bulk.

Size of the total moment   0.000 μB per atom
Formation energy from raw total energies   366.9 meV/atom
ΔE to the lowest computed polymorph   0.000 eV per atom

a b c (Å): 4.6843 4.6843 4.0092
angles (deg): 90.00 90.00 90.00
Atoms (fractional coordinates):
1 P 0.0000 0.0000 0.5000
2 S 0.0000 0.5000 0.0000
3 S 0.5000 0.0000 0.0000
4 Be 0.0000 0.0000 0.0000
5 Cd 0.5000 0.5000 0.5000

=====

Record 7
First-principles (GGA-PBE) data for a geometry-optimized BeCdP2S structure, as listed in Alexandria via LeMat-Bulk.

Size of the total moment   0.000 μB per atom
Formation energy from raw total energies   525.9 meV/atom
ΔE to the lowest computed polymorph   0.000 eV per atom

a b c (Å): 4.1680 4.1680 5.0228
angles (deg): 90.00 90.00 90.00
Atoms (fractional coordinates):
1 P 0.0000 0.5000 0.0000
2 P 0.5000 0.0000 0.0000
3 S 0.0000 0.0000 0.5000
4 Be 0.0000 0.0000 0.0000
5 Cd 0.5000 0.5000 0.5000

=====

Record 8
First-principles (GGA-PBE) data for a geometry-optimized BeCdP2S structure, as listed in Alexandria via LeMat-Bulk.

Size of the total moment   0.288 μB per atom
Formation energy from raw total energies   1585.8 meV/atom
ΔE to the lowest computed polymorph   1.060 eV per atom

a b c (Å): 4.9384 4.9384 4.9839
angles (deg): 90.00 90.00 90.00
Atoms (fractional coordinates):
1 P 0.0000 0.5000 0.0000
2 P 0.5000 0.0000 0.0000
3 S 0.0000 0.0000 0.5000
4 Be 0.5000 0.5000 0.5000
5 Cd 0.0000 0.0000 0.0000

=====

Record 9
First-principles (GGA-PBE) data for a geometry-optimized Sr2BeCdP structure, as listed in Alexandria via LeMat-Bulk.

Size of the total moment   0.000 μB per atom
Calculated formation energy   295.0 meV/atom

a b c (Å): 5.9537 4.4616 5.9537
angles (deg): 90.00 90.00 90.00
Atoms (fractional coordinates):
1 Sr 0.0000 0.0000 0.5000
2 Sr 0.5000 0.0000 0.0000
3 Be 0.0000 0.5000 0.0000
4 P 0.5000 0.5000 0.5000
5 Cd 0.0000 0.0000 0.0000

=====

Record 10
First-principles (GGA-PBE) data for a geometry-optimized BeCdTeP2 structure, as listed in Alexandria via LeMat-Bulk.

Size of the total moment   0.000 μB per atom
Formation energy from raw total energies   502.4 meV/atom

a b c (Å): 4.1838 6.1285 4.1838
angles (deg): 90.00 90.00 90.00
Atoms (fractional coordinates):
1 P 0.0000 0.0000 0.5000
2 P 0.5000 0.0000 0.0000
3 Te 0.0000 0.5000 0.0000
4 Be 0.0000 0.0000 0.0000
5 Cd 0.5000 0.5000 0.5000

=====

Record 11
First-principles (GGA-PBE) data for a geometry-optimized BeCd2PW structure, as listed in Alexandria via LeMat-Bulk.

Size of the total moment   0.158 μB per atom
Calculated formation energy   1179.9 meV/atom

a b c (Å): 5.4041 4.5582 5.4041
angles (deg): 90.00 90.00 90.00
Atoms (fractional coordinates):
1 P 0.0000 0.5000 0.0000
2 Be 0.5000 0.5000 0.5000
3 W 0.0000 0.0000 0.0000
4 Cd 0.0000 0.0000 0.5000
5 Cd 0.5000 0.0000 0.0000

=====

Record 12
First-principles (GGA-PBE) data for a geometry-optimized BeCdP2W structure, as listed in Alexandria via LeMat-Bulk.

Size of the total moment   0.000 μB per atom
Calculated formation energy   936.8 meV/atom

a b c (Å): 4.6121 5.4901 4.6121
angles (deg): 90.00 90.00 90.00
Atoms (fractional coordinates):
1 P 0.0000 0.0000 0.5000
2 P 0.5000 0.0000 0.0000
3 Be 0.5000 0.5000 0.5000
4 W 0.0000 0.0000 0.0000
5 Cd 0.0000 0.5000 0.0000

=====

| no. | energy (eV per atom) |
| --- | --- |
| 1 | -2.878 |
| 2 | -2.224 |
| 3 | -2.215 |
| 4 | -2.971 |
| 5 | -2.273 |
| 6 | -3.294 |
| 7 | -3.392 |
| 8 | -2.332 |
| 9 | -2.388 |
| 10 | -3.218 |
| 11 | -3.604 |
| 12 | -4.746 |